# 1
VASP calculation (PBE) on a relaxed structure of NpCoH.

abc: 2.7876 13.4049 3.5405
angles: 90.00 90.00 90.00
Element x y z (fractional)
Np 0.0000 0.0639 0.2500
Np 0.0000 0.9361 0.7500
Np 0.5000 0.4361 0.7500
Np 0.5000 0.5639 0.2500
Co 0.0000 0.2794 0.2500
Co 0.0000 0.7206 0.7500
Co 0.5000 0.2206 0.7500
Co 0.5000 0.7794 0.2500
H 0.0000 0.3983 0.2500
H 0.0000 0.6017 0.7500
H 0.5000 0.1017 0.7500
H 0.5000 0.8983 0.2500

## Properties
- energy above the most stable polymorph in this dataset (eV/atom) = 0.000
- space-group type = No. 63


# 2
VASP calculation (PBE) on a relaxed structure of Li3Pd2.

abc: 4.9949 4.9949 10.2834
angles: 90.00 90.00 120.00
Element x y z (fractional)
Li 0.0000 0.5000 0.0000
Li 0.1667 0.3333 0.3333
Li 0.1667 0.8333 0.3333
Li 0.3333 0.1667 0.6667
Li 0.5000 0.0000 0.0000
Li 0.5000 0.5000 0.0000
Li 0.6667 0.8333 0.3333
Li 0.8333 0.1667 0.6667
Li 0.8333 0.6667 0.6667
Pd 0.0000 0.0000 0.1302
Pd 0.0000 0.0000 0.8698
Pd 0.3333 0.6667 0.5365
Pd 0.3333 0.6667 0.7969
Pd 0.6667 0.3333 0.2031
Pd 0.6667 0.3333 0.4635

## Properties
- energy above the most stable polymorph in this dataset (eV/atom) = 0.137
- space-group type = No. 166
- ΔE_f (kJ/mol of atoms) = -24.5


# 3
VASP calculation (PBE) on a relaxed structure of Ca2HgCl.

abc: 5.1267 5.1267 8.4595
angles: 90.00 90.00 90.00
Element x y z (fractional)
Ca 0.0000 0.5000 0.2500
Ca 0.0000 0.5000 0.7500
Ca 0.5000 0.0000 0.2500
Ca 0.5000 0.0000 0.7500
Hg 0.0000 0.0000 0.0000
Hg 0.5000 0.5000 0.5000
Cl 0.0000 0.0000 0.5000
Cl 0.5000 0.5000 0.0000

## Properties
- energy above the most stable polymorph in this dataset (eV/atom) = 0.305
- space-group type = No. 139


# 4
VASP calculation (PBE) on a relaxed structure of CsTe2Cl2.

abc: 4.2664 4.2664 19.0778
angles: 90.00 90.00 90.00
Element x y z (fractional)
Cs 0.0000 0.0000 0.0000
Cs 0.5000 0.5000 0.5000
Te 0.0000 0.5000 0.2500
Te 0.0000 0.5000 0.7500
Te 0.5000 0.0000 0.2500
Te 0.5000 0.0000 0.7500
Cl 0.0000 0.0000 0.3988
Cl 0.0000 0.0000 0.6012
Cl 0.5000 0.5000 0.1012
Cl 0.5000 0.5000 0.8988

## Properties
- energy above the most stable polymorph in this dataset (eV/atom) = 0.000
- space-group type = No. 139


# 5
VASP calculation (PBE) on a relaxed structure of Ca6AlAg.

abc: 5.3467 5.3467 18.8885
angles: 90.00 90.00 90.00
Element x y z (fractional)
Ca 0.0000 0.0000 0.2476
Ca 0.0000 0.0000 0.7524
Ca 0.0000 0.5000 0.0955
Ca 0.0000 0.5000 0.4045
Ca 0.0000 0.5000 0.5955
Ca 0.0000 0.5000 0.9045
Ca 0.5000 0.0000 0.0955
Ca 0.5000 0.0000 0.4045
Ca 0.5000 0.0000 0.5955
Ca 0.5000 0.0000 0.9045
Ca 0.5000 0.5000 0.2524
Ca 0.5000 0.5000 0.7476
Al 0.0000 0.0000 0.0000
Al 0.5000 0.5000 0.5000
Ag 0.0000 0.0000 0.5000
Ag 0.5000 0.5000 0.0000

## Properties
- space-group type = No. 139
- ΔE_f (kJ/mol of atoms) = -11.8


# 6
VASP calculation (PBE) on a relaxed structure of DyGa4Cu2Pd.

abc: 9.1826 9.1826 9.1826
angles: 26.37 26.37 26.37
Element x y z (fractional)
Dy 0.0000 0.0000 0.0000
Ga 0.1260 0.1260 0.1260
Ga 0.3990 0.3990 0.3990
Ga 0.6010 0.6010 0.6010
Ga 0.8740 0.8740 0.8740
Cu 0.2435 0.2435 0.2435
Cu 0.7565 0.7565 0.7565
Pd 0.5000 0.5000 0.5000

## Properties
- space-group type = No. 166
- ΔE_f (kJ/mol of atoms) = -37.8


# 7
VASP calculation (PBE) on a relaxed structure of Mg2CoTeAs.

abc: 5.2435 5.2435 5.5467
angles: 90.00 90.00 90.00
Element x y z (fractional)
Mg 0.0000 0.5000 0.0000
Mg 0.5000 0.0000 0.0000
Co 0.0000 0.0000 0.5000
Te 0.5000 0.5000 0.0000
As 0.5000 0.5000 0.5000

## Properties
- space-group type = No. 123
- raw total energy (eV/atom) = -2.554


# 8
VASP calculation (PBE) on a relaxed structure of BeZn2Hg.

abc: 2.7589 5.4839 8.6930
angles: 90.00 90.00 90.00
Element x y z (fractional)
Be 0.0000 0.0000 0.0000
Be 0.5000 0.5000 0.5000
Zn 0.0000 0.0000 0.5233
Zn 0.0000 0.5000 0.2804
Zn 0.5000 0.0000 0.7804
Zn 0.5000 0.5000 0.0233
Hg 0.0000 0.5000 0.7406
Hg 0.5000 0.0000 0.2406

## Properties
- energy above the most stable polymorph in this dataset (eV/atom) = 0.094
- space-group type = No. 44
- ΔE_f (kJ/mol of atoms) = 29.9


# 9
VASP calculation (PBE) on a relaxed structure of ZnAg2Rh.

abc: 3.8637 3.8637 4.2638
angles: 90.00 90.00 90.00
Element x y z (fractional)
Zn 0.0000 0.0000 0.0000
Ag 0.0000 0.5000 0.5000
Ag 0.5000 0.0000 0.5000
Rh 0.5000 0.5000 0.0000

## Properties
- space-group type = No. 123
- ΔE_f (kJ/mol of atoms) = -2.3


# 10
VASP calculation (PBE) on a relaxed structure of SrGeSbI2.

abc: 6.1668 6.1668 6.6586
angles: 90.00 90.00 90.00
Element x y z (fractional)
Sr 0.0000 0.0000 0.0000
Ge 0.5000 0.5000 0.5000
Sb 0.0000 0.0000 0.5000
I 0.0000 0.5000 0.0000
I 0.5000 0.0000 0.0000

## Properties
- energy above the most stable polymorph in this dataset (eV/atom) = 0.501
- space-group type = No. 123


# 11
VASP calculation (PBE) on a relaxed structure of TbCu8Pt3.

abc: 4.9078 4.9078 7.9923
angles: 90.00 90.00 120.00
Element x y z (fractional)
Tb 0.0000 0.0000 0.0000
Cu 0.1646 0.3292 0.6743
Cu 0.1646 0.8354 0.6743
Cu 0.3333 0.6667 0.4314
Cu 0.3333 0.6667 0.9326
Cu 0.5037 0.0073 0.1931
Cu 0.5037 0.4963 0.1931
Cu 0.6708 0.8354 0.6743
Cu 0.9927 0.4963 0.1931
Pt 0.0000 0.0000 0.3710
Pt 0.6667 0.3333 0.5011
Pt 0.6667 0.3333 0.8657

## Properties
- space-group type = No. 156
- ΔE_f (kJ/mol of atoms) = -22.7


# 12
VASP calculation (PBE) on a relaxed structure of Ba2CdCu.

abc: 8.2235 4.7427 8.9074
angles: 90.00 107.85 90.00
Element x y z (fractional)
Ba 0.2388 0.0000 0.2170
Ba 0.2612 0.5000 0.7830
Ba 0.7388 0.5000 0.2170
Ba 0.7612 0.0000 0.7830
Cd 0.0000 0.0000 0.5000
Cd 0.5000 0.5000 0.5000
Cu 0.0000 0.5000 0.0000
Cu 0.5000 0.0000 0.0000

## Properties
- space-group type = No. 12
- ΔE_f (kJ/mol of atoms) = -1.9


# 13
VASP calculation (PBE) on a relaxed structure of MgWI2Br.

abc: 6.8727 6.8727 4.7522
angles: 90.00 90.00 90.00
Element x y z (fractional)
Mg 0.0000 0.0000 0.0000
W 0.5000 0.5000 0.0000
I 0.0000 0.5000 0.5000
I 0.5000 0.0000 0.5000
Br 0.5000 0.5000 0.5000

## Properties
- space-group type = No. 123
- raw total energy (eV/atom) = -2.678


# 14
VASP calculation (PBE) on a relaxed structure of TbDy6Ni2.

abc: 8.5437 8.5437 8.5437
angles: 115.70 107.00 105.91
Element x y z (fractional)
Tb 0.0000 0.0000 0.0000
Tb 0.5000 0.5000 0.0000
Dy 0.0069 0.2246 0.7823
Dy 0.1905 0.3031 0.4936
Dy 0.1905 0.6969 0.8874
Dy 0.3126 0.0068 0.6941
Dy 0.3126 0.6185 0.3059
Dy 0.4423 0.2246 0.2177
Dy 0.5577 0.7754 0.7823
Dy 0.6874 0.3815 0.6941
Dy 0.6874 0.9932 0.3059
Dy 0.8095 0.3031 0.1126
Dy 0.8095 0.6969 0.5064
Dy 0.9931 0.7754 0.2177
Ni 0.1195 0.6195 0.5000
Ni 0.3639 0.0000 0.3639
Ni 0.6361 0.0000 0.6361
Ni 0.8805 0.3805 0.5000

## Properties
- space-group type = No. 71
- ΔE_f (kJ/mol of atoms) = -12.1


# 15
VASP calculation (PBE) on a relaxed structure of Fe3Co5.

abc: 4.0079 4.0079 11.2999
angles: 90.00 90.00 90.00
Element x y z (fractional)
Fe 0.0000 0.0000 0.0000
Fe 0.0000 0.5000 0.1252
Fe 0.0000 0.5000 0.3748
Fe 0.5000 0.0000 0.6252
Fe 0.5000 0.0000 0.8748
Fe 0.5000 0.5000 0.5000
Co 0.0000 0.0000 0.2511
Co 0.0000 0.0000 0.5000
Co 0.0000 0.0000 0.7489
Co 0.0000 0.5000 0.6248
Co 0.0000 0.5000 0.8752
Co 0.5000 0.0000 0.1248
Co 0.5000 0.0000 0.3752
Co 0.5000 0.5000 0.0000
Co 0.5000 0.5000 0.2489
Co 0.5000 0.5000 0.7511

## Properties
- space-group type = No. 119
- ΔE_f (kJ/mol of atoms) = 1.6


# 16
VASP calculation (PBE) on a relaxed structure of AsSe2Br.

abc: 7.3262 7.3262 8.1012
angles: 90.00 90.00 90.00
Element x y z (fractional)
As 0.0000 0.0000 0.0000
As 0.0000 0.5000 0.2500
As 0.5000 0.0000 0.7500
As 0.5000 0.5000 0.5000
Se 0.1905 0.2500 0.1250
Se 0.2500 0.6905 0.3750
Se 0.2500 0.8095 0.8750
Se 0.3095 0.2500 0.6250
Se 0.6905 0.7500 0.6250
Se 0.7500 0.1905 0.8750
Se 0.7500 0.3095 0.3750
Se 0.8095 0.7500 0.1250
Br 0.0000 0.0000 0.5000
Br 0.0000 0.5000 0.7500
Br 0.5000 0.0000 0.2500
Br 0.5000 0.5000 0.0000

## Properties
- energy above the most stable polymorph in this dataset (eV/atom) = 0.310
- space-group type = No. 122


# 17
VASP calculation (PBE) on a relaxed structure of Sm3Sc2Ag3.

abc: 3.5922 5.2447 21.4748
angles: 90.00 90.00 90.00
Element x y z (fractional)
Sm 0.0000 0.0000 0.0000
Sm 0.0000 0.5000 0.1250
Sm 0.0000 0.5000 0.8750
Sm 0.5000 0.0000 0.3750
Sm 0.5000 0.0000 0.6250
Sm 0.5000 0.5000 0.5000
Sc 0.0000 0.0000 0.2350
Sc 0.0000 0.0000 0.7650
Sc 0.5000 0.5000 0.2650
Sc 0.5000 0.5000 0.7350
Ag 0.0000 0.0000 0.5000
Ag 0.0000 0.5000 0.3723
Ag 0.0000 0.5000 0.6277
Ag 0.5000 0.0000 0.1277
Ag 0.5000 0.0000 0.8723
Ag 0.5000 0.5000 0.0000

## Properties
- space-group type = No. 71
- ΔE_f (kJ/mol of atoms) = -18.5


# 18
VASP calculation (PBE) on a relaxed structure of SrNd2.

abc: 3.8155 3.8155 16.5340
angles: 90.00 90.00 90.00
Element x y z (fractional)
Sr 0.0000 0.0000 0.0000
Sr 0.5000 0.5000 0.5000
Nd 0.0000 0.0000 0.3212
Nd 0.0000 0.0000 0.6788
Nd 0.5000 0.5000 0.1788
Nd 0.5000 0.5000 0.8212

## Properties
- energy above the most stable polymorph in this dataset (eV/atom) = 0.000
- space-group type = No. 139
- ΔE_f (kJ/mol of atoms) = 7.6


# 19
VASP calculation (PBE) on a relaxed structure of NaTa3Rh.

abc: 4.8875 4.8875 4.8875
angles: 90.00 90.00 90.00
Element x y z (fractional)
Na 0.0000 0.0000 0.0000
Ta 0.0000 0.5000 0.5000
Ta 0.5000 0.0000 0.5000
Ta 0.5000 0.5000 0.0000
Rh 0.5000 0.5000 0.5000

## Properties
- energy above the most stable polymorph in this dataset (eV/atom) = 0.000
- space-group type = No. 221
- ΔE_f (kJ/mol of atoms) = 116.3


# 20
VASP calculation (PBE) on a relaxed structure of GaSi2HS.

abc: 13.7022 3.3631 3.6989
angles: 90.00 102.09 90.00
Element x y z (fractional)
Ga 0.0000 0.0000 0.0000
Ga 0.5000 0.5000 0.0000
Si 0.2544 0.5000 0.8226
Si 0.3756 0.5000 0.4009
Si 0.7544 0.0000 0.8226
Si 0.8756 0.0000 0.4009
H 0.2355 0.0000 0.7599
H 0.7355 0.5000 0.7599
S 0.1222 0.5000 0.1321
S 0.6222 0.0000 0.1321

## Properties
- energy above the most stable polymorph in this dataset (eV/atom) = 0.354
- space-group type = No. 8